No. 1
Sr3LiCu3 | GGA-PBE | relaxed Values from VASP.

## Properties
Energy of formation from the pure elements (eV/atom): -0.043

```
&SYSTEM
  ibrav = 0, nat = 14, ntyp = 3
/
ATOMIC_SPECIES
Sr 87.62 Sr.upf
Li 6.94 Li.upf
Cu 63.55 Cu.upf
CELL_PARAMETERS angstrom
4.4367 0.0000 0.0000
-2.2184 5.6782 0.0000
0.0000 0.0000 15.0258
ATOMIC_POSITIONS crystal
Sr 0.2008 0.4016 0.8963
Sr 0.7992 0.5984 0.1037
Sr 0.2008 0.4016 0.6037
Sr 0.7992 0.5984 0.3963
Sr 0.4833 0.9666 0.7500
Sr 0.5167 0.0334 0.2500
Li 0.5000 0.0000 0.0000
Li 0.5000 0.0000 0.5000
Cu 0.9076 0.8152 0.8974
Cu 0.0924 0.1848 0.1026
Cu 0.9076 0.8152 0.6026
Cu 0.0924 0.1848 0.3974
Cu 0.7901 0.5801 0.7500
Cu 0.2099 0.4199 0.2500
```



No. 2
Nd2SmSc | GGA-PBE | relaxed Values from VASP.

## Properties
Energy of formation from the pure elements (eV/atom): 0.043
Energy above the most stable polymorph in this dataset (meV/atom): 5

```
&SYSTEM
  ibrav = 0, nat = 4, ntyp = 3
/
ATOMIC_SPECIES
Sc 44.96 Sc.upf
Nd 144.24 Nd.upf
Sm 150.36 Sm.upf
CELL_PARAMETERS angstrom
3.6099 0.0000 0.0000
0.0000 3.6099 0.0000
0.0000 0.0000 9.8238
ATOMIC_POSITIONS crystal
Sc 0.5000 0.5000 0.0000
Nd 0.0000 0.0000 0.7643
Nd 0.0000 0.0000 0.2357
Sm 0.5000 0.5000 0.5000
```



No. 3
La4NiSn8 | GGA-PBE | relaxed Values from VASP.

## Properties
Energy of formation from the pure elements (eV/atom): -0.661

```
&SYSTEM
  ibrav = 0, nat = 13, ntyp = 3
/
ATOMIC_SPECIES
La 138.91 La.upf
Ni 58.69 Ni.upf
Sn 118.71 Sn.upf
CELL_PARAMETERS angstrom
-2.5121 -0.1161 -3.7608
-2.3596 -3.5979 1.6872
-11.4641 10.9507 7.3196
ATOMIC_POSITIONS crystal
La 0.0000 0.0000 0.1004
La 0.0000 0.5000 0.6039
La 0.5000 0.5000 0.3963
La 0.5000 0.0000 0.8983
Ni 0.0000 0.0000 0.3092
Sn 0.0000 0.0000 0.4541
Sn 0.0000 0.5000 0.9386
Sn 0.5000 0.5000 0.0539
Sn 0.5000 0.0000 0.5649
Sn 0.0000 0.5000 0.2406
Sn 0.0000 0.0000 0.7482
Sn 0.5000 0.0000 0.2405
Sn 0.5000 0.5000 0.7542
```



No. 4
YMoAs | GGA-PBE | relaxed Values from VASP.

## Properties
Energy of formation from the pure elements (eV/atom): 0.863

```
&SYSTEM
  ibrav = 0, nat = 3, ntyp = 3
/
ATOMIC_SPECIES
Y 88.91 Y.upf
Mo 95.94 Mo.upf
As 74.92 As.upf
CELL_PARAMETERS angstrom
4.7501 0.0000 0.0000
2.3750 4.1137 0.0000
2.3750 1.3712 3.8784
ATOMIC_POSITIONS crystal
Y 0.7500 0.7500 0.7500
Mo 0.5000 0.5000 0.5000
As 0.0000 0.0000 0.0000
```



No. 5
Ac6Zn5In | GGA-PBE | relaxed Values from VASP.

## Properties
Energy of formation from the pure elements (eV/atom): -0.267

```
&SYSTEM
  ibrav = 0, nat = 12, ntyp = 3
/
ATOMIC_SPECIES
Ac 227.00 Ac.upf
Zn 65.41 Zn.upf
In 114.82 In.upf
CELL_PARAMETERS angstrom
5.2826 -0.0315 1.7605
0.0426 7.9023 0.0142
-0.0047 -0.0157 8.8200
ATOMIC_POSITIONS crystal
Ac 0.8301 0.7466 0.3399
Ac 0.8301 0.2534 0.3399
Ac 0.5000 0.2577 0.0000
Ac 0.5000 0.7423 0.0000
Ac 0.1699 0.7466 0.6601
Ac 0.1699 0.2534 0.6601
Zn 0.6656 0.5000 0.6688
Zn 0.3344 0.0000 0.3312
Zn 0.0000 0.5000 0.0000
Zn 0.6656 0.0000 0.6688
Zn 0.3344 0.5000 0.3312
In 0.0000 0.0000 0.0000
```



No. 6
Nd6Ag2Pt | GGA-PBE | relaxed Values from VASP.

## Properties
Energy of formation from the pure elements (eV/atom): -0.306
Energy above the most stable polymorph in this dataset (meV/atom): 0

```
&SYSTEM
  ibrav = 0, nat = 18, ntyp = 3
/
ATOMIC_SPECIES
Nd 144.24 Nd.upf
Ag 107.87 Ag.upf
Pt 195.08 Pt.upf
CELL_PARAMETERS angstrom
-3.9589 5.4840 5.6071
-5.7012 -5.8482 -3.2376
-3.2932 -4.5048 6.7859
ATOMIC_POSITIONS crystal
Nd 0.1681 0.7437 0.0882
Nd 0.8319 0.2563 0.9118
Nd 0.1681 0.2563 0.5756
Nd 0.8319 0.7437 0.4244
Nd 0.4455 0.2609 0.8154
Nd 0.5545 0.7391 0.1846
Nd 0.0763 0.2609 0.1846
Nd 0.9237 0.7391 0.8154
Nd 0.3319 0.0544 0.2775
Nd 0.6681 0.9456 0.7225
Nd 0.3319 0.6093 0.7225
Nd 0.6681 0.3907 0.2775
Ag 0.1365 0.6365 0.5000
Ag 0.8635 0.3635 0.5000
Ag 0.3567 0.0000 0.6433
Ag 0.6433 0.0000 0.3567
Pt 0.5000 0.5000 0.0000
Pt 0.0000 0.0000 0.0000
```



No. 7
SrCo2As | GGA-PBE | relaxed Values from VASP.

## Properties
Energy of formation from the pure elements (eV/atom): 0.118

```
&SYSTEM
  ibrav = 0, nat = 4, ntyp = 3
/
ATOMIC_SPECIES
As 74.92 As.upf
Co 58.93 Co.upf
Sr 87.62 Sr.upf
CELL_PARAMETERS angstrom
-0.3880 -2.9461 1.2781
3.1423 -0.1188 0.6800
-1.2389 2.8636 6.2248
ATOMIC_POSITIONS crystal
As 0.5000 0.5000 0.8295
Co 0.0000 0.0000 0.0146
Co 0.5000 0.5000 0.1651
Sr 0.0000 0.0000 0.4908
```



No. 8
Ce4NdTh3Se8 | GGA-PBE | relaxed Values from VASP.

## Properties
Formation energy without anion corrections (eV/atom): -1.724

```
&SYSTEM
  ibrav = 0, nat = 16, ntyp = 4
/
ATOMIC_SPECIES
Ce 140.12 Ce.upf
Nd 144.24 Nd.upf
Th 232.04 Th.upf
Se 78.96 Se.upf
CELL_PARAMETERS angstrom
-7.3389 2.4408 -3.2468
1.8990 -3.8977 -7.2225
0.1806 -4.2654 7.2205
ATOMIC_POSITIONS crystal
Ce 0.5000 0.0000 0.0000
Ce 0.5000 0.0000 0.5000
Ce 0.0000 0.0000 0.0000
Ce 0.0000 0.0000 0.5000
Nd 0.0000 0.5000 0.0000
Th 0.5000 0.5000 0.0000
Th 0.5000 0.5000 0.5000
Th 0.0000 0.5000 0.5000
Se 0.2504 0.7520 0.0015
Se 0.2504 0.7520 0.5009
Se 0.2491 0.2473 0.4982
Se 0.7511 0.7520 0.0015
Se 0.2489 0.2480 0.9985
Se 0.7509 0.7527 0.5018
Se 0.7496 0.2480 0.4991
Se 0.7496 0.2480 0.9985
```



| no. | VASP energy (eV per atom) | magnetic moment (μB/atom) |
| --- | --- | --- |
| 1 | -2.7924 | 0.000 |
| 2 | -5.1037 | 0.000 |
| 3 | -5.0848 | 0.000 |
| 4 | -6.4522 | 1.033 |
| 5 | -3.0802 | 0.000 |
| 6 | -4.7899 | 0.000 |
| 7 | -5.0174 | 0.752 |
| 8 | -6.6385 | 0.218 |